Record 1
This record from Alexandria via LeMat-Bulk describes IrPtCl2 at its PBEsol-relaxed geometry. The functional is meta-GGA SCAN.

The structure in POSCAR format:
```
IrPtCl2
1.0
5.285 -1.673 0.000
5.285 1.673 0.000
-1.041 0.000 4.440
Ir Pt Cl
1 1 2
Cartesian
0.000 0.000 0.000
4.764 0.000 2.220
2.882 0.000 3.518
6.647 0.000 0.922
```

Summary:
* energy relative to the lowest polymorph listed for this composition: 403 meV/atom
* SG: C2/m, No. 12
* ΔE_f (raw): 342 meV per atom

Record 2
This record from Alexandria via LeMat-Bulk describes PPtBr2 at its PBEsol-relaxed geometry. The functional is meta-GGA SCAN.

The structure in POSCAR format:
```
PPtBr2
1.0
3.018 -3.591 0.000
3.018 3.591 0.000
0.000 0.000 3.776
P Pt Br
1 1 2
Cartesian
0.000 0.000 0.000
3.018 0.000 0.000
3.018 1.706 1.888
3.018 -1.706 1.888
```

Summary:
* SG: Cmmm, No. 65
* ΔE_f (raw): 640 meV per atom

Record 3
This record from Alexandria via LeMat-Bulk describes LaMgPb at its PBEsol-relaxed geometry. The functional is meta-GGA SCAN.

The structure in POSCAR format:
```
LaMgPb
1.0
-1.844 1.844 6.208
1.844 -1.844 6.208
1.844 1.844 -6.208
La Mg Pb
1 1 1
Cartesian
0.000 0.000 0.000
0.000 0.000 8.490
0.000 0.000 3.898
```

Summary:
* SG: I4mm, No. 107
* DFT formation energy: -421 meV/atom

Record 4
This record from Alexandria via LeMat-Bulk describes TlCuSb at its PBEsol-relaxed geometry. The functional is meta-GGA SCAN.

The structure in POSCAR format:
```
TlCuSb
1.0
0.000 3.349 3.349
3.349 0.000 3.349
3.349 3.349 0.000
Tl Cu Sb
1 1 1
Cartesian
0.000 0.000 0.000
1.674 1.674 1.674
5.023 5.023 5.023
```

Summary:
* energy relative to the lowest polymorph listed for this composition: 361 meV/atom
* SG: F-43m, No. 216
* ΔE_f (raw): 580 meV per atom

Listing total DFT energy (no corrections) for the structures above in their given order: -155.9, -117.0, -125.1, -123.1 eV for the cell shown.